No. 1
! LiCa4I8 | the Alexandria database | GGA-PBE | optimized geometry; values from VASP
! - total magnetic moment (Bohr magnetons per cell) = 0.00
! - symmetry = F-43m
! - formation energy (no corrections) (meV per atom) = -1437
&SYSTEM
  ibrav = 0, nat = 13, ntyp = 3
/
ATOMIC_SPECIES
Li 6.94 Li.upf
Ca 40.08 Ca.upf
I 126.90 I.upf
CELL_PARAMETERS angstrom
-5.982 -6.225 -2.625
2.853 -7.745 -3.647
-0.795 -7.719 4.606
ATOMIC_POSITIONS crystal
Li 0.750 0.750 0.750
Ca 0.889 0.370 0.370
Ca 0.370 0.889 0.370
Ca 0.370 0.370 0.889
Ca 0.370 0.370 0.370
I 0.625 0.125 0.125
I 0.125 0.625 0.125
I 0.125 0.125 0.625
I 0.125 0.125 0.125
I 0.133 0.622 0.622
I 0.622 0.133 0.622
I 0.622 0.622 0.133
I 0.622 0.622 0.622

***

No. 2
! Li2Ca3I8 | the Alexandria database | GGA-PBE | optimized geometry; values from VASP
! - total magnetic moment (Bohr magnetons per cell) = 0.00
! - symmetry = C2/m
! - formation energy (no corrections) (meV per atom) = -1468
&SYSTEM
  ibrav = 0, nat = 13, ntyp = 3
/
ATOMIC_SPECIES
Li 6.94 Li.upf
Ca 40.08 Ca.upf
I 126.90 I.upf
CELL_PARAMETERS angstrom
-7.371 0.672 2.726
-0.041 -8.928 2.091
5.060 5.762 4.594
ATOMIC_POSITIONS crystal
Li 0.614 0.662 0.323
Li 0.386 0.338 0.677
Ca 0.500 0.000 0.000
Ca 0.000 0.741 0.000
Ca 0.000 0.259 0.000
I 0.757 0.374 0.747
I 0.243 0.626 0.253
I 0.754 0.877 0.753
I 0.246 0.123 0.247
I 0.755 0.364 0.245
I 0.755 0.881 0.245
I 0.245 0.119 0.755
I 0.245 0.636 0.755